Compound: Nb3AlPb
Source: Alexandria via LeMat-Bulk
Functional: PBE
Structure: relaxed

The structure in POSCAR format:
```
Nb3AlPb
1.0
5.1137 0.0000 0.0000
0.0000 5.1137 0.0000
0.0000 0.0000 5.1137
Pb Nb Al
1 3 1
Direct
0.0000 0.0000 0.0000
0.0000 0.5000 0.0000
0.5000 0.0000 0.0000
0.0000 0.0000 0.5000
0.5000 0.5000 0.5000
```

## Properties
D(E_F) (states/eV per cell): 9.947
Formation energy (eV per formula unit): 9.66
Raw total energy (eV/atom): -5.60
Total moment (μB/f.u.): 0.00
Energy relative to the lowest polymorph listed for this composition (eV/atom): 0.966